1.
DFT (meta-GGA SCAN) results for SrMg2Ag at its PBEsol-relaxed geometry.

VASP energy   -16.066 eV/atom
N(E_F)   2.6 states/eV per cell

Structure (POSCAR):
```
SrMg2Ag
1.0
4.1787 -2.4213 0.0000
4.1787 2.4213 0.0000
-2.7842 0.0000 5.4892
Sr Mg Ag
1 2 1
Cartesian
0.0000 0.0000 0.0000 Sr
0.0045 0.0000 3.3441 Mg
2.7920 0.0000 2.2683 Mg
5.5790 0.0000 2.2585 Ag
```



2.
DFT (meta-GGA SCAN) results for ZrPt2Rh at its PBEsol-relaxed geometry.

VASP energy   -51.883 eV/atom
N(E_F)   3.8 states/eV per cell

Structure (POSCAR):
```
ZrPt2Rh
1.0
0.0000 3.1811 3.1811
3.1811 0.0000 3.1811
3.1811 3.1811 0.0000
Zr Pt Rh
1 2 1
Cartesian
0.0000 0.0000 0.0000 Zr
1.5906 1.5906 1.5906 Pt
4.7717 4.7717 4.7717 Pt
3.1811 3.1811 3.1811 Rh
```



3.
DFT (meta-GGA SCAN) results for SrScSb2 at its PBEsol-relaxed geometry.

N(E_F)   2.4 states/eV per cell
Formation energy (no corrections)   -0.94 eV per atom
Energy above the lowest structure with this stoichiometry   0 meV/atom

Structure (POSCAR):
```
SrScSb2
1.0
2.1727 1.2544 7.2827
-2.1727 1.2544 7.2827
0.0000 -2.5088 7.2827
Sr Sc Sb
1 1 2
Cartesian
0.0000 0.0000 0.0000 Sr
0.0000 0.0000 10.9241 Sc
0.0000 0.0000 5.1443 Sb
0.0000 0.0000 16.7039 Sb
```



4.
DFT (meta-GGA SCAN) results for CaSn4P6O24 at its PBEsol-relaxed geometry.

N(E_F)   0.0 states/eV per cell
Formation energy (no corrections)   -2.35 eV per atom

Structure (POSCAR):
```
CaSn4P6O24
1.0
4.2049 2.4277 7.6087
-4.2049 2.4277 7.6087
0.0000 -4.8554 7.6087
Ca Sn P O
1 4 6 24
Cartesian
0.0000 0.0000 0.0000 Ca
0.0000 0.0000 3.3609 Sn
0.0000 0.0000 8.0285 Sn
0.0000 0.0000 14.7975 Sn
0.0000 0.0000 19.4651 Sn
-1.7716 -2.4565 9.4736 P
-3.0131 0.3060 13.3524 P
-1.2416 2.7624 9.4736 P
1.2416 -2.7625 13.3524 P
3.0131 -0.3060 9.4736 P
1.7716 2.4565 13.3524 P
-2.4846 -2.4287 10.8270 O
-3.2531 -1.2369 13.2740 O
-0.5553 -3.4357 9.5520 O
-1.5682 0.6346 6.8714 O
-1.3020 -1.0336 9.1790 O
-3.3457 0.9374 11.9990 O
0.2345 -1.6754 6.8714 O
-2.6977 2.1988 9.5520 O
0.8610 -3.3661 11.9990 O
-1.5461 0.6107 13.6470 O
-1.3337 -1.0408 15.9546 O
-0.2441 1.6443 9.1790 O
0.2441 -1.6443 13.6470 O
1.3337 1.0408 6.8714 O
1.5461 -0.6107 9.1790 O
-0.8610 3.3661 10.8270 O
2.6977 -2.1988 13.2740 O
-0.2346 1.6754 15.9546 O
3.3457 -0.9374 10.8270 O
1.3020 1.0336 13.6470 O
1.5682 -0.6346 15.9546 O
0.5554 3.4357 13.2740 O
3.2531 1.2369 9.5519 O
2.4846 2.4287 11.9990 O
```



5.
DFT (meta-GGA SCAN) results for Sc5Mn24 at its PBEsol-relaxed geometry.

VASP energy   -17.575 eV/atom
N(E_F)   23.1 states/eV per cell

Structure (POSCAR):
```
Sc5Mn24
1.0
-4.3995 4.3995 4.3995
4.3995 -4.3995 4.3995
4.3995 4.3995 -4.3995
Sc Mn
5 24
Cartesian
0.0000 0.0000 0.0000 Sc
1.6642 1.6642 -1.6642 Sc
1.6642 -1.6642 1.6642 Sc
-1.6642 1.6642 1.6642 Sc
2.7353 2.7353 2.7353 Sc
4.1601 1.2193 -1.2193 Mn
4.1601 -1.2193 1.2193 Mn
6.2826 0.7988 -0.7988 Mn
6.2826 -0.7988 0.7988 Mn
2.5164 0.7988 0.7988 Mn
3.6007 3.6007 -1.8831 Mn
3.6007 -1.8831 3.6007 Mn
4.6389 1.2193 1.2193 Mn
1.2193 4.1601 -1.2193 Mn
1.2193 -1.2193 4.1601 Mn
0.7988 2.5164 0.7988 Mn
0.7988 0.7988 2.5164 Mn
3.1802 3.1802 0.2394 Mn
3.1802 0.2394 3.1802 Mn
-1.2193 4.1601 1.2193 Mn
-1.2193 1.2193 4.1601 Mn
0.7988 6.2826 -0.7988 Mn
0.7988 -0.7988 6.2826 Mn
1.2193 4.6389 1.2193 Mn
1.2193 1.2193 4.6389 Mn
0.2394 3.1802 3.1802 Mn
-0.7988 6.2826 0.7988 Mn
-0.7988 0.7988 6.2826 Mn
-1.8831 3.6007 3.6007 Mn
```



6.
DFT (meta-GGA SCAN) results for Cs3Tb2Br9 at its PBEsol-relaxed geometry.

N(E_F)   0.0 states/eV per cell
Formation energy (no corrections)   -2.11 eV per atom

Structure (POSCAR):
```
Cs3Tb2Br9
1.0
6.7550 3.9000 6.4050
-6.7550 3.9000 6.4050
0.0000 -7.8000 6.4050
Cs Tb Br
6 4 18
Cartesian
-4.4753 0.0486 8.0062 Cs
-2.2797 -3.8514 11.2087 Cs
2.1956 -3.9000 8.0062 Cs
-2.1956 3.9000 11.2087 Cs
2.2797 3.8514 8.0062 Cs
4.4753 -0.0486 11.2087 Cs
0.0000 0.0000 2.8737 Tb
0.0000 0.0000 6.7338 Tb
0.0000 0.0000 12.4812 Tb
0.0000 0.0000 16.3412 Tb
-1.2720 -5.7620 8.0544 Br
-5.6261 -1.7794 11.1606 Br
-2.1391 0.0000 4.8038 Br
-1.2720 -2.0380 7.9581 Br
1.0696 -1.8525 4.8037 Br
-4.3540 3.9826 8.0544 Br
1.0696 1.8525 4.8037 Br
-2.4010 0.0826 11.2569 Br
-1.1289 2.1206 7.9581 Br
1.1289 -2.1206 11.2569 Br
2.4010 -0.0826 7.9581 Br
-1.0696 -1.8525 14.4112 Br
4.3540 -3.9826 11.1606 Br
-1.0696 1.8525 14.4112 Br
1.2720 2.0380 11.2568 Br
2.1391 0.0000 14.4112 Br
5.6261 1.7794 8.0544 Br
1.2720 5.7620 11.1606 Br
```



7.
DFT (meta-GGA SCAN) results for Li4NbCrW2O12 at its PBEsol-relaxed geometry.

Formation energy (no corrections)   -2.45 eV per atom

Structure (POSCAR):
```
Li4NbCrW2O12
1.0
5.0783 0.0000 0.0000
0.0244 5.3812 0.0000
0.0004 0.5655 7.3779
Li Nb Cr W O
4 1 1 2 12
Cartesian
0.0000 0.0000 0.0000 Li
0.0300 0.2832 3.4468 Li
2.5578 3.5593 0.5146 Li
2.5895 3.1733 3.5116 Li
2.5294 0.8443 5.6091 Nb
0.0220 3.3520 2.0376 Cr
0.0440 3.5070 5.7353 W
2.5218 0.7101 1.9436 W
0.6084 3.3031 0.1506 O
0.9235 5.3117 5.2776 O
1.0436 1.7565 2.4861 O
1.5764 4.4933 2.4479 O
1.6501 2.6748 5.2588 O
1.9193 0.5337 0.1755 O
3.2184 0.8246 3.8391 O
3.5247 2.2895 1.6604 O
3.5570 4.6832 6.2122 O
4.0772 4.9679 1.6229 O
4.2033 1.9912 6.2124 O
4.5404 3.5391 3.9385 O
```



8.
DFT (meta-GGA SCAN) results for BaHgSeBr2 at its PBEsol-relaxed geometry.

N(E_F)   0.7 states/eV per cell
Formation energy (no corrections)   -1.15 eV per atom

Structure (POSCAR):
```
BaHgSeBr2
1.0
5.4646 0.0000 0.0000
0.0000 5.4646 0.0000
0.0000 0.0000 5.3063
Ba Hg Se Br
1 1 1 2
Cartesian
0.0000 0.0000 0.0000 Ba
2.7323 2.7323 2.6531 Hg
2.7323 2.7323 0.0000 Se
0.0000 2.7323 2.6531 Br
2.7323 0.0000 2.6531 Br
```



- What is the formula in the sixth record?
  Cs3Tb2Br9